DFT (GGA+U) results for a geometry-optimized NpMn2CrO8 structure.

Fermi-level density of states: 3.000 states/eV per cell
Magnetic moment: 0.9186 μB per atom
SG: P2/m
VASP energy: -8.2309 eV per atom

Unit cell a=4.8997 b=4.8942 c=6.0855 alpha=90.00 beta=90.00 gamma=94.42
Last column: magnetic moment on the atom in μB.
Sites, in units of the cell vectors:
Np: 0.0000 0.0000 0.0000  0.50
Mn: 0.5000 0.5000 0.7402  3.90
Mn: 0.5000 0.5000 0.2598  3.90
Cr: 0.0000 0.0000 0.5000  2.94
O: 0.1792 0.8195 0.2476  -0.04
O: 0.6830 0.6842 0.0000  -0.08
O: 0.8208 0.1805 0.2476  -0.04
O: 0.8208 0.1805 0.7524  -0.04
O: 0.3170 0.3158 0.0000  -0.08
O: 0.1792 0.8195 0.7524  -0.04
O: 0.6909 0.6923 0.5000  -0.09
O: 0.3091 0.3077 0.5000  -0.09